No. 1
! Ac2MnHPt6, relaxed, DFT PBE; values from VASP
&SYSTEM
  ibrav = 0, nat = 10, ntyp = 4
/
ATOMIC_SPECIES
Ac 227.00 Ac.upf
Mn 54.94 Mn.upf
H 1.01 H.upf
Pt 195.08 Pt.upf
ATOMIC_POSITIONS angstrom
Ac 0.0000 0.0000 4.1283
Ac 0.0000 0.0000 14.5205
Mn 0.0000 0.0000 9.3244
H 0.0000 0.0000 0.0000
Pt 0.0000 -1.6639 7.3640
Pt -1.4410 0.8320 7.3640
Pt -1.4410 -0.8320 11.2847
Pt 1.4410 0.8320 7.3640
Pt 1.4410 -0.8320 11.2847
Pt 0.0000 1.6639 11.2847
CELL_PARAMETERS angstrom
2.9366 1.6955 6.2162
-2.9366 1.6955 6.2162
0.0000 -3.3909 6.2162
! Energy: -6.401 eV/atom

No. 2
! TeIBrO2, relaxed, DFT PBE; values from VASP
&SYSTEM
  ibrav = 0, nat = 5, ntyp = 4
/
ATOMIC_SPECIES
Te 127.60 Te.upf
I 126.90 I.upf
Br 79.90 Br.upf
O 16.00 O.upf
ATOMIC_POSITIONS angstrom
Te 0.0000 0.0000 0.0000
I 2.0693 2.0693 3.7794
Br 0.0000 0.0000 3.7794
O 0.0000 2.0693 0.0000
O 2.0693 0.0000 0.0000
CELL_PARAMETERS angstrom
4.1386 0.0000 0.0000
0.0000 4.1386 0.0000
0.0000 0.0000 7.5588
! Energy above the most stable polymorph in this dataset: 13 meV per atom

No. 3
! Ac2Be2Ge2N, relaxed, DFT PBE; values from VASP
&SYSTEM
  ibrav = 0, nat = 7, ntyp = 4
/
ATOMIC_SPECIES
Ac 227.00 Ac.upf
Be 9.01 Be.upf
Ge 72.64 Ge.upf
N 14.01 N.upf
ATOMIC_POSITIONS angstrom
Ac -0.7467 0.0000 1.6615
Ac 8.1257 0.0000 4.2033
Be -0.0272 0.0000 5.3556
Be 7.4062 0.0000 0.5092
Ge 2.5295 0.0000 1.3314
Ge 4.8495 0.0000 4.5334
N 5.8724 0.0000 0.0000
CELL_PARAMETERS angstrom
5.8724 -2.0124 0.0000
5.8724 2.0124 0.0000
-4.3657 0.0000 5.8648
! Energy: -5.440 eV/atom

No. 4
! HgB3Se, relaxed, DFT PBE; values from VASP
&SYSTEM
  ibrav = 0, nat = 5, ntyp = 3
/
ATOMIC_SPECIES
Hg 200.59 Hg.upf
B 10.81 B.upf
Se 78.96 Se.upf
ATOMIC_POSITIONS angstrom
Hg 0.0000 0.0000 0.0000
B 0.0000 2.0990 2.0990
B 2.0990 0.0000 2.0990
B 2.0990 2.0990 0.0000
Se 2.0990 2.0990 2.0990
CELL_PARAMETERS angstrom
4.1980 0.0000 0.0000
0.0000 4.1980 0.0000
0.0000 0.0000 4.1980
! Energy above the most stable polymorph in this dataset: 0 meV per atom

No. 5
! PAuCO2, relaxed, DFT PBE; values from VASP
&SYSTEM
  ibrav = 0, nat = 5, ntyp = 4
/
ATOMIC_SPECIES
P 30.97 P.upf
Au 196.97 Au.upf
C 12.01 C.upf
O 16.00 O.upf
ATOMIC_POSITIONS angstrom
P 0.0000 0.0000 0.0000
Au 1.7773 1.7773 0.0000
C 0.0000 0.0000 2.1284
O 0.0000 1.7773 2.1284
O 1.7773 0.0000 2.1284
CELL_PARAMETERS angstrom
3.5546 0.0000 0.0000
0.0000 3.5546 0.0000
0.0000 0.0000 4.2568
! Energy above the most stable polymorph in this dataset: 0 meV per atom

No. 6
! LaRe2Ir2, relaxed, DFT PBE; values from VASP
&SYSTEM
  ibrav = 0, nat = 5, ntyp = 3
/
ATOMIC_SPECIES
La 138.91 La.upf
Re 186.21 Re.upf
Ir 192.22 Ir.upf
ATOMIC_POSITIONS angstrom
La 0.0000 0.0000 0.0000
Re 2.0627 0.0000 2.8416
Re 0.0000 2.0627 2.8416
Ir 0.0000 0.0000 4.4122
Ir 0.0000 0.0000 6.9542
CELL_PARAMETERS angstrom
-2.0627 2.0627 5.6832
2.0627 -2.0627 5.6832
2.0627 2.0627 -5.6832
! Energy above the most stable polymorph in this dataset: 27 meV per atom

No. 7
! Cs2NaLiSe, relaxed, DFT PBE; values from VASP
&SYSTEM
  ibrav = 0, nat = 5, ntyp = 4
/
ATOMIC_SPECIES
Cs 132.91 Cs.upf
Na 22.99 Na.upf
Li 6.94 Li.upf
Se 78.96 Se.upf
ATOMIC_POSITIONS angstrom
Cs 0.0000 3.6684 0.0000
Cs 3.6684 0.0000 0.0000
Na 0.0000 0.0000 2.4209
Li 3.6684 3.6684 2.4209
Se 3.6684 3.6684 0.0000
CELL_PARAMETERS angstrom
7.3368 0.0000 0.0000
0.0000 7.3368 0.0000
0.0000 0.0000 4.8418
! Energy: -2.274 eV/atom

No. 8
! Tm2SbTe, relaxed, DFT PBE; values from VASP
&SYSTEM
  ibrav = 0, nat = 4, ntyp = 3
/
ATOMIC_SPECIES
Tm 168.93 Tm.upf
Sb 121.76 Sb.upf
Te 127.60 Te.upf
ATOMIC_POSITIONS angstrom
Tm 0.0000 0.0000 0.0000
Tm 0.0000 0.0000 3.9892
Sb 0.0000 0.0000 13.1390
Te 0.0000 0.0000 16.9316
CELL_PARAMETERS angstrom
2.1173 1.2224 7.4558
-2.1173 1.2224 7.4558
0.0000 -2.4448 7.4558
! Energy above the most stable polymorph in this dataset: 48 meV per atom